# La3Tb8

La3Tb8 after structural relaxation (PBE-GGA, the Alexandria database).

**Crystal system**: monoclinic
**D(E_F)**: 35.713 states/eV per cell
**E above lowest polymorph**: 0.0 kJ/mol of atoms
**ΔE_f**: 29 meV/atom

abc: 11.432 5.107 13.074
angles: 90.00 105.27 90.00
Space group C2/m (No. 12)
Unique sites:
La: 0.000 0.000 0.000
La: 0.091 0.000 0.638
Tb: 0.046 0.500 0.819
Tb: 0.137 0.500 0.455
Tb: 0.181 0.000 0.273
Tb: 0.227 0.500 0.091